No. 1
The following is a DFT calculation (PBE) of a geometry-optimized Cu3Ag2 structure.

Unit cell a=2.8328 b=2.8328 c=17.7544 alpha=90.00 beta=90.00 gamma=90.00
Atoms (fractional coordinates):
Ag 0.0000 0.0000 0.0000
Ag 0.5000 0.5000 0.1210
Ag 0.5000 0.5000 0.5000
Ag 0.5000 0.5000 0.8790
Cu 0.0000 0.0000 0.2251
Cu 0.5000 0.5000 0.3095
Cu 0.0000 0.0000 0.3943
Cu 0.0000 0.0000 0.6057
Cu 0.5000 0.5000 0.6905
Cu 0.0000 0.0000 0.7749

Calculated values
Crystal system: tetragonal
Total energy: -16.51 eV/f.u.
Relative energy among the computed polymorphs: 16.5 meV per atom
ΔH_f (0 K): 0.058 eV/atom

No. 2
The following is a DFT calculation (PBE) of a geometry-optimized Cu3Ag2 structure.

Unit cell a=9.4287 b=9.4287 c=5.5713 alpha=98.43 beta=98.43 gamma=16.91
Atoms (fractional coordinates):
Ag 0.7986 0.7986 0.3960
Ag 0.4122 0.4122 0.7085
Ag 0.5962 0.5962 0.7975
Ag 0.7940 0.7940 0.8989
Cu 0.0039 0.0039 0.0319
Cu 0.1920 0.1920 0.1113
Cu 0.4070 0.4070 0.2024
Cu 0.5999 0.5999 0.3005
Cu 0.0033 0.0033 0.4719
Cu 0.1929 0.1929 0.5812

Calculated values
Crystal system: monoclinic
Total energy: -16.39 eV/f.u.
Relative energy among the computed polymorphs: 39.7 meV per atom
ΔH_f (0 K): 0.082 eV/atom